1.
First-principles (GGA-PBE) data for crystalline RbTlBr6 at its relaxed geometry, as listed in the Alexandria database.

VASP energy: -17.167 eV for the cell shown
Formation energy (no corrections): -10.94 kcal/mol of atoms
Space-group type: R-3m, No. 166

abc: 6.678 6.678 6.678
angles: 94.70 94.70 94.70
Sites, in units of the cell vectors:
Rb (0.000, 0.000, 0.000)
Tl (0.500, 0.500, 0.500)
Br (0.207, 0.591, 0.207)
Br (0.207, 0.207, 0.591)
Br (0.793, 0.409, 0.793)
Br (0.409, 0.793, 0.793)
Br (0.793, 0.793, 0.409)
Br (0.591, 0.207, 0.207)


2.
First-principles (GGA-PBE) data for crystalline NbAlVMo at its relaxed geometry, as listed in the Alexandria database.

VASP energy: -34.180 eV for the cell shown
E_form: -0.10 eV/atom
Space-group type: F-43m, No. 216

abc: 4.471 4.471 4.471
angles: 60.00 60.00 60.00
Sites, in units of the cell vectors:
Mo (0.000, 0.000, 0.000)
Al (0.250, 0.250, 0.250)
Nb (0.750, 0.750, 0.750)
V (0.500, 0.500, 0.500)


3.
First-principles (GGA-PBE) data for crystalline Na2Tb2RhO6 at its relaxed geometry, as listed in the Alexandria database.

VASP energy: -72.709 eV for the cell shown
Formation energy (no corrections): -49.71 kcal/mol of atoms
Space-group type: C2/m, No. 12

abc: 5.758 5.758 5.876
angles: 97.25 97.25 119.97
Sites, in units of the cell vectors:
Na (0.856, 0.144, 0.000)
Na (0.144, 0.856, 0.000)
Tb (0.337, 0.663, 0.500)
Tb (0.663, 0.337, 0.500)
Rh (0.000, 0.000, 0.500)
O (0.752, 0.752, 0.703)
O (0.042, 0.354, 0.693)
O (0.248, 0.248, 0.297)
O (0.354, 0.042, 0.693)
O (0.958, 0.646, 0.307)
O (0.646, 0.958, 0.307)


4.
First-principles (GGA-PBE) data for crystalline Mo2WAu at its relaxed geometry, as listed in the Alexandria database.

VASP energy: -36.530 eV for the cell shown
Energy above the lowest structure with this stoichiometry: 193 meV per atom
E_form: 0.34 eV/atom
Space-group type: C2/m, No. 12

abc: 4.934 4.934 5.147
angles: 83.14 83.14 31.75
Sites, in units of the cell vectors:
Au (0.250, 0.250, 0.250)
Mo (0.998, 0.998, 0.001)
Mo (0.502, 0.502, 0.499)
W (0.750, 0.750, 0.750)


5.
First-principles (GGA-PBE) data for crystalline Rb3ZrNp3Se8 at its relaxed geometry, as listed in the Alexandria database.

VASP energy: -97.241 eV for the cell shown
Formation energy (no corrections): -29.35 kcal/mol of atoms
Space-group type: R-3m, No. 166

abc: 8.333 8.331 9.476
angles: 116.08 90.00 120.01
Sites, in units of the cell vectors:
Rb (0.000, 0.000, 0.000)
Rb (0.000, 0.500, 0.000)
Rb (0.500, 0.500, 0.000)
Zr (0.000, 0.000, 0.500)
Np (0.500, 0.000, 0.500)
Np (0.500, 0.500, 0.500)
Np (0.000, 0.500, 0.500)
Se (0.268, 0.536, 0.304)
Se (0.732, 0.464, 0.696)
Se (0.778, 0.555, 0.311)
Se (0.222, 0.445, 0.689)
Se (0.778, 0.033, 0.311)
Se (0.222, 0.967, 0.689)
Se (0.256, 0.033, 0.311)
Se (0.744, 0.967, 0.689)


6.
First-principles (GGA-PBE) data for crystalline NdSmBeCu at its relaxed geometry, as listed in the Alexandria database.

VASP energy: -17.201 eV for the cell shown
E_form: 0.03 eV/atom
Space-group type: F-43m, No. 216

abc: 5.019 5.019 5.019
angles: 60.00 60.00 60.00
Sites, in units of the cell vectors:
Be (0.750, 0.750, 0.750)
Nd (0.500, 0.500, 0.500)
Cu (0.250, 0.250, 0.250)
Sm (0.000, 0.000, 0.000)


no.,calculated density (g cm⁻³)
1,4.34
2,7.01
3,5.72
4,14.54
5,5.72
6,6.82